First-principles (PBE) data for LaPrTm14 after structural relaxation, as listed in Alexandria via LeMat-Bulk.

Output
Crystal system   orthorhombic

Structure (CIF):
```
data_LaPrTm14
_chemical_formula_sum 'La2 Pr2 Tm28'
_cell_length_a 11.379
_cell_length_b 7.094
_cell_length_c 12.224
_cell_angle_alpha 90.00
_cell_angle_beta 90.00
_cell_angle_gamma 90.00
_symmetry_space_group_name_H-M 'A m m 2'
_symmetry_Int_Tables_number 38
_symmetry_space_group_name_Hall 'A 2 -2'
loop_
_atom_site_label
_atom_site_fract_x
_atom_site_fract_y
_atom_site_fract_z
La1 0.000 0.000 0.000
Pr1 0.000 0.000 0.501
Tm1 0.000 0.249 0.251
Tm2 0.252 0.000 0.668
Tm3 0.254 0.000 0.168
Tm4 0.256 0.250 0.417
Tm5 0.500 0.000 0.334
Tm6 0.500 0.000 0.834
Tm7 0.500 0.250 0.085
```


First-principles (PBE) data for La2Pr5Tm5 after structural relaxation, as listed in Alexandria via LeMat-Bulk.

Output
Crystal system   monoclinic

Structure (CIF):
```
data_La2Pr5Tm5
_chemical_formula_sum 'La4 Pr10 Tm10'
_cell_length_a 15.475
_cell_length_b 5.088
_cell_length_c 11.523
_cell_angle_alpha 90.00
_cell_angle_beta 116.82
_cell_angle_gamma 90.00
_symmetry_space_group_name_H-M 'C 1 2/m 1'
_symmetry_Int_Tables_number 12
_symmetry_space_group_name_Hall '-C 2y'
loop_
_atom_site_label
_atom_site_fract_x
_atom_site_fract_y
_atom_site_fract_z
La1 0.082 0.000 0.252
Pr1 0.000 0.000 0.500
Pr2 0.165 0.000 0.999
Pr3 0.247 0.000 0.746
Tm1 0.000 0.500 0.000
Tm2 0.083 0.500 0.749
Tm3 0.167 0.500 0.501
```


Number 1: VASP energy -4.501 eV per atom. Number 2: VASP energy -4.651 eV per atom.